(A)
Compound: TePdN2Cl
Source: the Alexandria database
Functional: PBE-GGA
Structure: relaxed

abc: 3.7422 3.7422 8.0516
angles: 90.00 90.00 90.00
Positions (direct):
Te1 0.0000 0.0000 0.0000
Pd1 0.5000 0.5000 0.0000
N1 0.0000 0.5000 0.5000
N2 0.5000 0.0000 0.5000
Cl1 0.0000 0.0000 0.5000

Values from the calculation:
Density, Mg/m³: 4.4
N(E_F), states/eV/cell: 3.9
Space-group type: P4/mmm, No. 123
Total magnetic moment, μB/f.u.: 0.91

***

(B)
Compound: TePdN2Cl
Source: the Alexandria database
Functional: PBE-GGA
Structure: relaxed

abc: 4.0424 4.0424 5.8517
angles: 90.00 90.00 90.00
Positions (direct):
Te1 0.0000 0.0000 0.0000
Pd1 0.0000 0.0000 0.5000
N1 0.0000 0.5000 0.5000
N2 0.5000 0.0000 0.5000
Cl1 0.5000 0.5000 0.0000

Values from the calculation:
Density, Mg/m³: 5.2
N(E_F), states/eV/cell: 2.3
Space-group type: P4/mmm, No. 123
Total magnetic moment, μB/f.u.: 3.73

***

Stability, lowest: (A)